Compound: ThCuH
Source: Alexandria
Functional: PBE
Structure: optimized geometry

## Properties
excess energy over the best structure of this formula in the dataset: 1.28 eV/f.u.

Cell lengths 3.5777, 3.5777, 8.6800 Å; angles 90.00, 90.00, 90.00 degrees
Last column: nearest neighbours and their distance in Å.
Space group I4mm (No. 107)
Unique sites:
Th (0.0000, 0.0000, 0.0000) x2  4 H 2.54, 1 Cu 2.79
Cu (0.0000, 0.0000, 0.6787) x2  1 H 1.78
H (0.0000, 0.0000, 0.4734) x2  1 Cu 1.78

***

Compound: ThCuH
Source: Alexandria
Functional: PBE
Structure: optimized geometry

## Properties
excess energy over the best structure of this formula in the dataset: 0.72 eV/f.u.

Cell lengths 3.9388, 6.8380, 7.9428 Å; angles 90.00, 90.00, 90.00 degrees
Last column: nearest neighbours and their distance in Å.
Space group Cmcm (No. 63)
Unique sites:
Th (0.0000, 0.1678, 0.2500) x4  3 H 2.28
Cu (0.0000, 0.5000, 0.0000) x4  6 H 3.02-3.03, 6 Th 3.02
H (0.0000, 0.1651, 0.7500) x4  3 Th 2.28

***

Compound: Th3Cu5H12
Source: Alexandria
Functional: PBE
Structure: optimized geometry

Cell lengths 11.9384, 11.9384, 11.9384 Å; angles 90.00, 90.00, 90.00 degrees
Last column: nearest neighbours and their distance in Å.
Space group Ia-3d (No. 230)
Unique sites:
Th (0.0000, 0.2500, 0.1250) x24  8 H 2.35-2.40
Cu (0.0000, 0.0000, 0.0000) x16  6 H 1.95
Cu (0.0000, 0.2500, 0.3750) x24  4 H 1.72
H (0.0361, 0.0535, 0.6496) x96  1 Cu 1.72

***

Compound: ThCuH
Source: Alexandria
Functional: PBE
Structure: optimized geometry

## Properties
excess energy over the best structure of this formula in the dataset: 0.00 eV/f.u.

Cell lengths 3.8667, 4.2159, 6.3104 Å; angles 90.00, 107.27, 90.00 degrees
Last column: nearest neighbours and their distance in Å.
Space group P2_1/m (No. 11)
Unique sites:
Th (0.1469, 0.2500, 0.2876) x2  4 H 2.37-2.42
Cu (0.4378, 0.2500, 0.8807) x2  2 Cu 2.55
H (0.2429, 0.7500, 0.4839) x2  4 Th 2.37-2.42

***

Compound: ThCu2H6
Source: Alexandria
Functional: PBE
Structure: optimized geometry

Cell lengths 11.2637, 3.9835, 4.1268 Å; angles 90.00, 108.06, 90.00 degrees
Last column: nearest neighbours and their distance in Å.
Space group C2/m (No. 12)
Unique sites:
Th (0.0000, 0.0000, 0.0000) x2  10 H 2.31-2.40
Cu (0.2479, 0.5000, 0.2079) x4  3 H 1.66-1.72
H (0.0988, 0.0000, 0.5820) x4  1 Cu 1.67
H (0.0998, 0.5000, 0.2024) x4  1 Cu 1.66
H (0.2240, 0.0000, 0.1795) x4  1 Cu 1.72

***

Compound: TiCu3H
Source: Alexandria
Functional: PBE
Structure: optimized geometry

## Properties
excess energy over the best structure of this formula in the dataset: 7.41 eV/f.u.

Cell lengths 4.7985, 4.7985, 4.7985 Å; angles 90.00, 90.00, 90.00 degrees
Last column: nearest neighbours and their distance in Å.
Space group Pm-3m (No. 221)
Unique sites:
Ti (0.0000, 0.0000, 0.0000) x1  6 Cu 2.40
Cu (0.0000, 0.0000, 0.5000) x3  2 Ti 2.40
H (0.5000, 0.5000, 0.5000) x1  12 Cu 3.39

***

Compound: TiCu2H
Source: Alexandria
Functional: PBE
Structure: optimized geometry

## Properties
excess energy over the best structure of this formula in the dataset: 1.55 eV/f.u.

Cell lengths 5.8004, 5.8004, 5.8004 Å; angles 90.00, 90.00, 90.00 degrees
Last column: nearest neighbours and their distance in Å.
Space group Fm-3m (No. 225)
Unique sites:
Ti (0.0000, 0.0000, 0.0000) x4  8 Cu 2.51
Cu (0.2500, 0.2500, 0.2500) x8  4 H 2.51, 4 Ti 2.51
H (0.0000, 0.0000, 0.5000) x4  8 Cu 2.51

***

Compound: TiCuH2
Source: Alexandria
Functional: PBE
Structure: optimized geometry

## Properties
excess energy over the best structure of this formula in the dataset: 0.51 eV/f.u.

Cell lengths 5.1131, 5.1131, 5.1131 Å; angles 90.00, 90.00, 90.00 degrees
Last column: nearest neighbours and their distance in Å.
Space group Fm-3m (No. 225)
Unique sites:
Ti (0.0000, 0.0000, 0.0000) x4  8 H 2.21
Cu (0.0000, 0.0000, 0.5000) x4  8 H 2.21
H (0.2500, 0.2500, 0.2500) x8  4 Cu 2.21, 4 Ti 2.21

***

Number 1: DFT total energy -0.178 Ha/atom. Number 2: DFT total energy -0.185 Ha/atom. Number 3: DFT total energy -0.157 Ha/atom. Number 4: DFT total energy -0.194 Ha/atom. Number 5: DFT total energy -0.151 Ha/atom. Number 6: DFT total energy -0.110 Ha/atom. Number 7: DFT total energy -0.156 Ha/atom. Number 8: DFT total energy -0.169 Ha/atom.